{
  "formula": "CaPrNi2O6",
  "functional": "PBE with a Hubbard U",
  "state": "optimized geometry",
  "cell": [[7.611, 0.000, 0.000], [0.000, 5.423, 0.000], [0.000, 0.000, 5.428]],
  "species": ["Ca", "Ca", "Pr", "Pr", "Ni", "Ni", "Ni", "Ni", "O", "O", "O", "O", "O", "O", "O", "O", "O", "O", "O", "O"],
  "frac_coords": [[0.000, 0.204, 0.000], [0.500, 0.796, 0.500], [0.000, 0.711, 0.483], [0.500, 0.289, 0.983], [0.250, 0.249, 0.491], [0.250, 0.751, 0.991], [0.750, 0.249, 0.491], [0.750, 0.751, 0.991], [0.000, 0.260, 0.570], [0.000, 0.763, 0.920], [0.208, 0.463, 0.204], [0.213, 0.966, 0.276], [0.287, 0.034, 0.776], [0.292, 0.537, 0.704], [0.500, 0.237, 0.420], [0.500, 0.740, 0.070], [0.708, 0.537, 0.704], [0.713, 0.034, 0.776], [0.787, 0.966, 0.276], [0.792, 0.463, 0.204]],
  "dft_energy_ev_per_atom": -5.946,
  "vol_a3_per_atom": 11.2
}